No. 1
Material: BeOsAu2
Method: DFT, PBE-GGA
State: optimized geometry

- E_tot (eV per atom) = -4.886
- magnetic moment (μB per cell) = 0.00
- ΔH_f (0 K) (eV/atom) = 0.492
- space group = P4/mmm (123)

Cell: 3.8460 3.8460 4.0744 Å, 90.00 90.00 90.00°
Sites, in units of the cell vectors:
1 Be 0.0000 0.0000 0.0000
2 Os 0.5000 0.5000 0.0000
3 Au 0.0000 0.5000 0.5000
4 Au 0.5000 0.0000 0.5000

No. 2
Material: NpFeAs2
Method: DFT, PBE-GGA
State: optimized geometry

- E_tot (eV per atom) = -7.265
- magnetic moment (μB per cell) = 1.01
- ΔH_f (0 K) (eV/atom) = 0.411
- space group = R-3m (166)

Cell: 7.8485 7.8485 7.8485 Å, 31.40 31.40 31.40°
Sites, in units of the cell vectors:
1 Np 0.0000 0.0000 0.0000
2 Fe 0.5000 0.5000 0.5000
3 As 0.3960 0.3960 0.3960
4 As 0.6040 0.6040 0.6040